An optimized crystal structure of MnRuRh2, computed with PBE-GGA.

a = 4.269 Å, b = 4.269 Å, c = 4.269 Å
α = 60.00°, β = 60.00°, γ = 60.00°
Element x y z (fractional)
Rh 0.250 0.250 0.250
Ru 0.500 0.500 0.500
Rh 0.750 0.750 0.750
Mn 0.000 0.000 0.000

## Properties
* VASP energy: -31.2 eV for the cell shown
* symmetry: Fm-3m (225)

---

An optimized crystal structure of Mn2RuRh, computed with PBE-GGA.

a = 5.312 Å, b = 5.312 Å, c = 6.422 Å
α = 65.57°, β = 65.57°, γ = 90.00°
Each line ends with the local moment (μB).
Element x y z (fractional)
Mn 0.622 0.125 0.250  1.67
Rh 0.750 0.250 0.500  -0.05
Mn 0.875 0.872 0.750  1.68
Mn 0.375 0.378 0.750  1.65
Ru 0.500 0.500 0.000  -0.40
Mn 0.128 0.625 0.250  1.66
Ru 0.250 0.750 0.500  -0.40
Rh 0.000 0.000 0.000  -0.05

## Properties
* VASP energy: -61.1 eV for the cell shown
* symmetry: I-42d (122)

---

An optimized crystal structure of Mn2RuRh, computed with PBE-GGA.

a = 3.743 Å, b = 3.743 Å, c = 3.626 Å
α = 90.00°, β = 90.00°, γ = 90.00°
Each line ends with the local moment (μB).
Element x y z (fractional)
Mn 0.000 0.000 0.000  1.32
Mn 0.500 0.500 0.000  1.32
Rh 0.500 0.000 0.500  -0.18
Ru 0.000 0.500 0.500  -0.43

## Properties
* VASP energy: -34.8 eV for the cell shown
* symmetry: P4/mmm (123)

---

An optimized crystal structure of Mn2RuRh, computed with PBE-GGA.

a = 4.502 Å, b = 4.502 Å, c = 4.584 Å
α = 80.42°, β = 80.42°, γ = 34.03°
Each line ends with the local moment (μB).
Element x y z (fractional)
Mn 0.500 0.500 0.497  1.44
Mn 0.000 0.000 0.003  1.44
Ru 0.250 0.250 0.250  -0.15
Rh 0.750 0.750 0.750  -0.02

## Properties
* VASP energy: -34.6 eV for the cell shown
* symmetry: C2/m (12)

---

An optimized crystal structure of MnRuRh4, computed with PBE-GGA.

a = 5.073 Å, b = 5.073 Å, c = 5.073 Å
α = 60.00°, β = 60.00°, γ = 60.00°
Each line ends with the local moment (μB).
Element x y z (fractional)
Mn 0.000 0.000 0.000  3.94
Ru 0.250 0.250 0.250  -1.67
Rh 0.625 0.625 0.625  -0.18
Rh 0.625 0.625 0.125  -0.18
Rh 0.125 0.625 0.625  -0.18
Rh 0.625 0.125 0.625  -0.18

## Properties
* symmetry: F-43m (216)
* polymorph energy (0 for the lowest one): 0.401 eV/atom

---

An optimized crystal structure of Mn3RuRh12, computed with PBE-GGA.

a = 3.820 Å, b = 3.820 Å, c = 15.307 Å
α = 90.00°, β = 90.00°, γ = 90.00°
Each line ends with the local moment (μB).
Element x y z (fractional)
Rh 0.000 0.500 0.876  -0.04
Rh 0.000 0.500 0.124  -0.04
Rh 0.500 0.500 0.500  -0.08
Rh 0.500 0.000 0.375  0.03
Rh 0.500 0.000 0.625  0.03
Rh 0.500 0.500 0.750  0.01
Rh 0.500 0.000 0.124  -0.04
Ru 0.000 0.000 0.000  -0.03
Rh 0.500 0.500 0.000  -0.14
Rh 0.000 0.500 0.375  0.03
Rh 0.500 0.500 0.250  0.01
Mn 0.000 0.000 0.252  3.23
Mn 0.000 0.000 0.500  -3.17
Mn 0.000 0.000 0.748  3.23
Rh 0.500 0.000 0.876  -0.04
Rh 0.000 0.500 0.625  0.03

## Properties
* VASP energy: -126.5 eV for the cell shown
* symmetry: P4/mmm (123)

---

An optimized crystal structure of MnRuRh4, computed with PBE-GGA.

a = 2.731 Å, b = 2.731 Å, c = 11.209 Å
α = 90.00°, β = 90.00°, γ = 90.00°
Each line ends with the local moment (μB).
Element x y z (fractional)
Mn 0.500 0.000 0.500  2.94
Rh 0.000 0.500 0.656  -0.08
Ru 0.000 0.500 0.000  0.05
Rh 0.500 0.000 0.834  -0.10
Rh 0.000 0.500 0.344  -0.08
Rh 0.500 0.000 0.166  -0.10

## Properties
* symmetry: P4/mmm (123)
* polymorph energy (0 for the lowest one): 0.000 eV/atom

---

An optimized crystal structure of MnRuRh4, computed with PBE-GGA.

a = 4.020 Å, b = 4.027 Å, c = 7.264 Å
α = 74.00°, β = 73.94°, γ = 60.06°
Each line ends with the local moment (μB).
Element x y z (fractional)
Rh 0.620 0.619 0.141  -0.05
Rh 0.125 0.125 0.624  0.01
Rh 0.380 0.381 0.859  -0.05
Mn 0.500 0.500 0.500  2.57
Rh 0.875 0.875 0.376  0.01
Ru 0.000 0.000 0.000  -0.01

## Properties
* symmetry: C2/m (12)
* polymorph energy (0 for the lowest one): 0.448 eV/atom

---

An optimized crystal structure of MnRuRh2, computed with PBE-GGA.

a = 8.752 Å, b = 8.752 Å, c = 8.752 Å
α = 17.97°, β = 17.97°, γ = 17.97°
Each line ends with the local moment (μB).
Element x y z (fractional)
Rh 0.499 0.499 0.499  0.01
Mn 0.750 0.750 0.750  3.06
Rh 0.001 0.001 0.001  0.01
Ru 0.250 0.250 0.250  -0.20

## Properties
* VASP energy: -32.9 eV for the cell shown
* symmetry: R-3m (166)

---

An optimized crystal structure of Mn2RuRh, computed with PBE-GGA.

a = 5.044 Å, b = 5.044 Å, c = 5.044 Å
α = 145.47°, β = 130.71°, γ = 61.57°
Each line ends with the local moment (μB).
Element x y z (fractional)
Mn 0.753 0.253 0.500  3.10
Mn 0.001 0.001 0.000  3.01
Rh 0.506 0.506 0.000  0.27
Ru 0.239 0.739 0.500  -0.23

## Properties
* VASP energy: -34.7 eV for the cell shown
* symmetry: Imm2 (44)

---

An optimized crystal structure of MnRuRh2, computed with PBE-GGA.

a = 4.294 Å, b = 2.732 Å, c = 4.682 Å
α = 90.00°, β = 90.00°, γ = 90.00°
Each line ends with the local moment (μB).
Element x y z (fractional)
Mn 0.500 0.625 0.788  2.73
Rh 0.000 0.125 0.953  -0.12
Ru 0.000 0.625 0.461  -0.34
Rh 0.500 0.125 0.299  -0.16

## Properties
* VASP energy: -33.3 eV for the cell shown
* symmetry: Pmm2 (25)

---

An optimized crystal structure of Mn2RuRh, computed with PBE-GGA.

a = 5.927 Å, b = 4.499 Å, c = 2.648 Å
α = 90.03°, β = 63.41°, γ = 121.80°
Each line ends with the local moment (μB).
Element x y z (fractional)
Mn 0.000 0.000 0.000  1.50
Rh 0.000 0.500 0.500  -0.15
Ru 0.500 0.500 0.000  -0.42
Mn 0.500 0.000 0.500  1.50

## Properties
* VASP energy: -34.8 eV for the cell shown
* symmetry: Cmmm (65)